1.
Density functional theory data (PBE) for a relaxed SrMo crystal.

energy of formation from the pure elements: 0.704 eV/atom
excess energy over the best structure of this formula in the dataset: 273 meV/atom
magnetic moment: 0.0 Bohr magnetons per cell

a = 3.690 Å, b = 13.756 Å, c = 7.533 Å
α = 90.00°, β = 90.00°, γ = 90.00°
Space group Imm2 (No. 44)
Inequivalent atoms, fractional coordinates:
Sr  0.000  0.000  0.000
Sr  0.000  0.289  0.806
Mo  0.000  0.000  0.496
Mo  0.000  0.413  0.167

---

2.
Density functional theory data (PBE) for a relaxed Sr5Mo crystal.

energy of formation from the pure elements: 0.608 eV/atom
excess energy over the best structure of this formula in the dataset: 114 meV/atom
magnetic moment: 4.2 Bohr magnetons per cell

a = 6.9641 Å, b = 6.9641 Å, c = 6.2888 Å
α = 90.00°, β = 90.00°, γ = 120.00°
Space group P-62m (No. 189)
Inequivalent atoms, fractional coordinates:
Sr  0.0000  0.6910  0.0000
Sr  0.3333  0.6667  0.5000
Mo  0.0000  0.0000  0.5000

---

3.
Density functional theory data (PBE) for a relaxed SrMo3 crystal.

energy of formation from the pure elements: 1.011 eV/atom
excess energy over the best structure of this formula in the dataset: 325 meV/atom
magnetic moment: 0.0 Bohr magnetons per cell

a = 10.139 Å, b = 2.680 Å, c = 6.102 Å
α = 90.00°, β = 99.06°, γ = 90.00°
Space group C2/m (No. 12)
Inequivalent atoms, fractional coordinates:
Sr  0.000  0.000  0.000
Mo  0.000  0.500  0.500
Mo  0.227  0.000  0.691

---

4.
Density functional theory data (PBE) for a relaxed SrMo crystal.

energy of formation from the pure elements: 1.957 eV/atom
excess energy over the best structure of this formula in the dataset: 1526 meV/atom
magnetic moment: 16.2 Bohr magnetons per cell

a = 6.526 Å, b = 6.526 Å, c = 6.526 Å
α = 90.00°, β = 90.00°, γ = 90.00°
Space group Fm-3m (No. 225)
Inequivalent atoms, fractional coordinates:
Sr  0.000  0.000  0.000
Mo  0.000  0.000  0.500

---

5.
Density functional theory data (PBE) for a relaxed SrMo2 crystal.

energy of formation from the pure elements: 1.554 eV/atom
excess energy over the best structure of this formula in the dataset: 900 meV/atom
magnetic moment: 0.0 Bohr magnetons per cell

a = 5.0322 Å, b = 5.0322 Å, c = 5.5551 Å
α = 90.00°, β = 90.00°, γ = 120.00°
Space group P6_3/mmc (No. 194)
Inequivalent atoms, fractional coordinates:
Sr  0.3333  0.6667  0.2500
Mo  0.0000  0.0000  0.0000
Mo  0.3333  0.6667  0.7500

---

6.
Density functional theory data (PBE) for a relaxed Sr4Mo5 crystal.

energy of formation from the pure elements: 1.376 eV/atom
magnetic moment: 0.0 Bohr magnetons per cell

a = 9.1711 Å, b = 9.1711 Å, c = 5.5714 Å
α = 90.00°, β = 90.00°, γ = 120.00°
Space group P6_3/mcm (No. 193)
Inequivalent atoms, fractional coordinates:
Sr  0.0000  0.0000  0.0000
Sr  0.0000  0.2916  0.2500
Mo  0.0000  0.4260  0.7500
Mo  0.3333  0.6667  0.0000

---

7.
Density functional theory data (PBE) for a relaxed SrMo crystal.

energy of formation from the pure elements: 2.652 eV/atom
excess energy over the best structure of this formula in the dataset: 2221 meV/atom
magnetic moment: 29.4 Bohr magnetons per cell

a = 9.366 Å, b = 9.366 Å, c = 9.366 Å
α = 90.00°, β = 90.00°, γ = 90.00°
Space group Pm-3n (No. 223)
Inequivalent atoms, fractional coordinates:
Sr  0.000  0.250  0.500
Mo  0.000  0.500  0.250

---

8.
Density functional theory data (PBE) for a relaxed SrMo3 crystal.

energy of formation from the pure elements: 0.697 eV/atom
excess energy over the best structure of this formula in the dataset: 12 meV/atom
magnetic moment: 0.0 Bohr magnetons per cell

a = 3.306 Å, b = 4.676 Å, c = 9.846 Å
α = 90.00°, β = 90.00°, γ = 90.00°
Space group Cmmm (No. 65)
Inequivalent atoms, fractional coordinates:
Sr  0.000  0.000  0.000
Mo  0.000  0.000  0.500
Mo  0.000  0.500  0.288

---

9.
Density functional theory data (PBE) for a relaxed Sr3Mo5 crystal.

energy of formation from the pure elements: 0.611 eV/atom
magnetic moment: 0.0 Bohr magnetons per cell

a = 5.277 Å, b = 8.813 Å, c = 10.585 Å
α = 66.83°, β = 80.22°, γ = 83.57°
Space group P1 (No. 1)
Inequivalent atoms, fractional coordinates:
Sr  0.000  0.000  0.000
Sr  0.085  0.625  0.878
Sr  0.208  0.989  0.375
Sr  0.474  0.676  0.182
Sr  0.567  0.304  0.098
Sr  0.653  0.755  0.626
Mo  0.209  0.567  0.535
Mo  0.214  0.328  0.457
Mo  0.429  0.090  0.694
Mo  0.470  0.303  0.784
Mo  0.677  0.431  0.526
Mo  0.697  0.206  0.435
Mo  0.917  0.665  0.348
Mo  0.937  0.100  0.665
Mo  0.975  0.438  0.256
Mo  0.984  0.338  0.742

---

10.
Density functional theory data (PBE) for a relaxed Sr5Mo crystal.

energy of formation from the pure elements: 0.585 eV/atom
excess energy over the best structure of this formula in the dataset: 92 meV/atom
magnetic moment: 7.8 Bohr magnetons per cell

a = 4.906 Å, b = 17.560 Å, c = 6.102 Å
α = 90.00°, β = 90.00°, γ = 90.00°
Space group Cmmm (No. 65)
Inequivalent atoms, fractional coordinates:
Sr  0.000  0.000  0.000
Sr  0.000  0.143  0.500
Sr  0.000  0.337  0.000
Mo  0.000  0.500  0.500

---

11.
Density functional theory data (PBE) for a relaxed SrMo2 crystal.

energy of formation from the pure elements: 0.853 eV/atom
excess energy over the best structure of this formula in the dataset: 200 meV/atom
magnetic moment: 0.0 Bohr magnetons per cell

a = 3.3167 Å, b = 3.3167 Å, c = 7.2627 Å
α = 90.00°, β = 90.00°, γ = 120.00°
Space group P-3m1 (No. 164)
Inequivalent atoms, fractional coordinates:
Sr  0.0000  0.0000  0.0000
Mo  0.3333  0.6667  0.3904

---

12.
Density functional theory data (PBE) for a relaxed SrMo3 crystal.

energy of formation from the pure elements: 0.860 eV/atom
excess energy over the best structure of this formula in the dataset: 175 meV/atom
magnetic moment: 0.0 Bohr magnetons per cell

a = 3.1554 Å, b = 3.1554 Å, c = 28.0401 Å
α = 90.00°, β = 90.00°, γ = 120.00°
Space group R-3m (No. 166, hexagonal axes)
Inequivalent atoms, fractional coordinates:
Sr  0.0000  0.0000  0.0000
Mo  0.0000  0.0000  0.2338
Mo  0.0000  0.0000  0.5000

---

13.
Density functional theory data (PBE) for a relaxed SrMo2 crystal.

energy of formation from the pure elements: 1.230 eV/atom
excess energy over the best structure of this formula in the dataset: 576 meV/atom
magnetic moment: 0.0 Bohr magnetons per cell

a = 2.729 Å, b = 16.498 Å, c = 5.515 Å
α = 90.00°, β = 90.00°, γ = 90.00°
Space group Cmcm (No. 63)
Inequivalent atoms, fractional coordinates:
Sr  0.000  0.120  0.250
Mo  0.000  0.204  0.750
Mo  0.000  0.446  0.250

---

14.
Density functional theory data (PBE) for a relaxed SrMo2 crystal.

energy of formation from the pure elements: 0.825 eV/atom
excess energy over the best structure of this formula in the dataset: 171 meV/atom
magnetic moment: 0.0 Bohr magnetons per cell

a = 4.1436 Å, b = 4.1436 Å, c = 5.3440 Å
α = 90.00°, β = 90.00°, γ = 120.00°
Space group P6/mmm (No. 191)
Inequivalent atoms, fractional coordinates:
Sr  0.0000  0.0000  0.0000
Mo  0.3333  0.6667  0.5000

---

15.
Density functional theory data (PBE) for a relaxed SrMo2 crystal.

energy of formation from the pure elements: 0.736 eV/atom
excess energy over the best structure of this formula in the dataset: 82 meV/atom
magnetic moment: 0.0 Bohr magnetons per cell

a = 11.504 Å, b = 3.256 Å, c = 7.830 Å
α = 90.00°, β = 91.87°, γ = 90.00°
Space group Cm (No. 8)
Inequivalent atoms, fractional coordinates:
Sr  0.000  0.000  0.000
Sr  0.243  0.000  0.694
Mo  0.003  0.500  0.593
Mo  0.125  0.500  0.343
Mo  0.267  0.000  0.212
Mo  0.399  0.500  0.393

---

16.
Density functional theory data (PBE) for a relaxed SrMo crystal.

energy of formation from the pure elements: 1.406 eV/atom
excess energy over the best structure of this formula in the dataset: 975 meV/atom
magnetic moment: 0.0 Bohr magnetons per cell

a = 3.1223 Å, b = 3.1223 Å, c = 16.5814 Å
α = 90.00°, β = 90.00°, γ = 120.00°
Space group R-3m (No. 166, hexagonal axes)
Inequivalent atoms, fractional coordinates:
Sr  0.0000  0.0000  0.0000
Mo  0.0000  0.0000  0.5000

---

17.
Density functional theory data (PBE) for a relaxed SrMo crystal.

energy of formation from the pure elements: 0.848 eV/atom
excess energy over the best structure of this formula in the dataset: 417 meV/atom
magnetic moment: 0.0 Bohr magnetons per cell

a = 9.534 Å, b = 7.385 Å, c = 6.621 Å
α = 90.00°, β = 90.00°, γ = 90.00°
Space group Cmcm (No. 63)
Inequivalent atoms, fractional coordinates:
Sr  0.204  0.018  0.250
Mo  0.000  0.354  0.054

---

18.
Density functional theory data (PBE) for a relaxed SrMo2 crystal.

energy of formation from the pure elements: 0.780 eV/atom
excess energy over the best structure of this formula in the dataset: 127 meV/atom
magnetic moment: 0.0 Bohr magnetons per cell

a = 8.011 Å, b = 8.011 Å, c = 8.011 Å
α = 90.00°, β = 90.00°, γ = 90.00°
Space group Fd-3m (No. 227, origin choice 2)
Inequivalent atoms, fractional coordinates:
Sr  0.125  0.125  0.125
Mo  0.000  0.000  0.500

---

19.
Density functional theory data (PBE) for a relaxed Sr3TaMo crystal.

energy of formation from the pure elements: 2.174 eV/atom
magnetic moment: 0.0 Bohr magnetons per cell

a = 5.768 Å, b = 5.768 Å, c = 5.768 Å
α = 90.00°, β = 90.00°, γ = 90.00°
Space group Pm-3m (No. 221)
Inequivalent atoms, fractional coordinates:
Sr  0.000  0.000  0.500
Ta  0.000  0.000  0.000
Mo  0.500  0.500  0.500

---

20.
Density functional theory data (PBE) for a relaxed SrTaMo2 crystal.

energy of formation from the pure elements: 0.853 eV/atom
excess energy over the best structure of this formula in the dataset: 309 meV/atom
magnetic moment: 0.0 Bohr magnetons per cell

a = 3.254 Å, b = 4.972 Å, c = 10.194 Å
α = 90.00°, β = 90.00°, γ = 90.00°
Space group Imm2 (No. 44)
Inequivalent atoms, fractional coordinates:
Sr  0.000  0.000  0.000
Ta  0.000  0.500  0.777
Mo  0.000  0.000  0.551
Mo  0.000  0.500  0.235

---

21.
Density functional theory data (PBE) for a relaxed SrTa4Mo crystal.

energy of formation from the pure elements: 0.759 eV/atom
magnetic moment: 0.0 Bohr magnetons per cell

a = 7.918 Å, b = 7.918 Å, c = 7.918 Å
α = 90.00°, β = 90.00°, γ = 90.00°
Space group F-43m (No. 216)
Inequivalent atoms, fractional coordinates:
Sr  0.000  0.000  0.000
Ta  0.125  0.125  0.625
Mo  0.250  0.250  0.250

---

22.
Density functional theory data (PBE) for a relaxed SrTaMo2 crystal.

energy of formation from the pure elements: 0.634 eV/atom
excess energy over the best structure of this formula in the dataset: 90 meV/atom
magnetic moment: 0.0 Bohr magnetons per cell

a = 3.080 Å, b = 4.189 Å, c = 7.224 Å
α = 90.00°, β = 100.58°, γ = 90.00°
Space group Pm (No. 6)
Inequivalent atoms, fractional coordinates:
Sr  0.000  0.000  0.000
Ta  0.611  0.500  0.349
Mo  0.065  0.000  0.519
Mo  0.453  0.500  0.672

---

23.
Density functional theory data (PBE) for a relaxed SrTaMo2 crystal.

energy of formation from the pure elements: 1.335 eV/atom
excess energy over the best structure of this formula in the dataset: 791 meV/atom
magnetic moment: 0.0 Bohr magnetons per cell

a = 4.936 Å, b = 4.936 Å, c = 18.203 Å
α = 90.00°, β = 90.00°, γ = 90.00°
Space group I-42d (No. 122)
Inequivalent atoms, fractional coordinates:
Sr  0.000  0.000  0.000
Ta  0.000  0.000  0.500
Mo  0.026  0.250  0.625

---

24.
Density functional theory data (PBE) for a relaxed SrTaMo2 crystal.

energy of formation from the pure elements: 0.872 eV/atom
excess energy over the best structure of this formula in the dataset: 328 meV/atom
magnetic moment: 0.0 Bohr magnetons per cell

a = 9.290 Å, b = 2.782 Å, c = 6.609 Å
α = 90.00°, β = 90.00°, γ = 90.00°
Space group Cm (No. 8)
Inequivalent atoms, fractional coordinates:
Sr  0.000  0.000  0.000
Ta  0.247  0.000  0.677
Mo  0.005  0.500  0.487
Mo  0.252  0.500  0.307

---

25.
Density functional theory data (PBE) for a relaxed SrTaMo2 crystal.

energy of formation from the pure elements: 0.544 eV/atom
excess energy over the best structure of this formula in the dataset: 0 meV/atom
magnetic moment: 0.0 Bohr magnetons per cell

a = 3.580 Å, b = 3.580 Å, c = 7.238 Å
α = 90.00°, β = 90.00°, γ = 90.00°
Space group P4/mmm (No. 123)
Inequivalent atoms, fractional coordinates:
Sr  0.000  0.000  0.000
Ta  0.000  0.000  0.500
Mo  0.500  0.500  0.338

---

26.
Density functional theory data (PBE) for a relaxed SrTaMo2 crystal.

energy of formation from the pure elements: 0.779 eV/atom
excess energy over the best structure of this formula in the dataset: 235 meV/atom
magnetic moment: 0.0 Bohr magnetons per cell

a = 3.1345 Å, b = 3.1345 Å, c = 29.2151 Å
α = 90.00°, β = 90.00°, γ = 120.00°
Space group R3m (No. 160, hexagonal axes)
Inequivalent atoms, fractional coordinates:
Sr  0.0000  0.0000  0.0000
Ta  0.0000  0.0000  0.2318
Mo  0.0000  0.0000  0.4940
Mo  0.0000  0.0000  0.7625